[1]
# Dy2ErSc

Crystalline Dy2ErSc at its relaxed geometry (PBE-GGA, Alexandria via LeMat-Bulk).

a b c (Å): 6.9186 6.9189 13.8079
angles (deg): 119.69 60.31 89.39
Closest atoms and distances in Å follow each position.
Element x y z (fractional)
Sc (0.2473, 0.9972, 0.8750)  8 Dy 3.41-3.50, 2 Sc 3.43, 2 Er 3.48
Dy (0.2471, 0.5036, 0.8750)  4 Sc 3.42-3.50, 4 Er 3.42-3.49, 4 Dy 3.47-3.48
Er (0.2523, 0.0021, 0.3749)  8 Dy 3.42-3.49, 2 Sc 3.48, 2 Er 3.50
Dy (0.2535, 0.4971, 0.3749)  4 Sc 3.42-3.50, 4 Er 3.42-3.49, 4 Dy 3.47-3.48
Dy (0.7529, 0.4964, 0.1250)  4 Sc 3.42-3.50, 4 Er 3.42-3.49, 4 Dy 3.47-3.48
Sc (0.2529, 0.5028, 0.6250)  8 Dy 3.41-3.50, 2 Sc 3.43, 2 Er 3.48
Dy (0.2464, 0.0027, 0.1249)  4 Sc 3.41-3.50, 4 Er 3.43-3.49, 4 Dy 3.47-3.48
Dy (0.2527, 0.9964, 0.6250)  4 Sc 3.41-3.50, 4 Er 3.43-3.49, 4 Dy 3.47-3.48
Dy (0.7465, 0.5029, 0.6251)  4 Sc 3.42-3.50, 4 Er 3.42-3.49, 4 Dy 3.47-3.48
Sc (0.7471, 0.4972, 0.3750)  8 Dy 3.41-3.50, 2 Sc 3.43, 2 Er 3.48
Er (0.7519, 0.5022, 0.8751)  8 Dy 3.42-3.49, 2 Sc 3.48, 2 Er 3.50
Dy (0.7473, 0.0036, 0.3750)  4 Sc 3.41-3.50, 4 Er 3.43-3.49, 4 Dy 3.47-3.48
Er (0.2481, 0.4978, 0.1249)  8 Dy 3.42-3.49, 2 Sc 3.48, 2 Er 3.50
Er (0.7477, 0.9979, 0.6251)  8 Dy 3.42-3.49, 2 Sc 3.48, 2 Er 3.50
Dy (0.7536, 0.9973, 0.8751)  4 Sc 3.41-3.50, 4 Er 3.43-3.49, 4 Dy 3.47-3.48
Sc (0.7527, 0.0028, 0.1250)  8 Dy 3.41-3.50, 2 Sc 3.43, 2 Er 3.48

Properties
Its crystal system is orthorhombic. For the formation energy, the calculation gives 0.04 eV per atom. For the total magnetization, the calculation gives 0.000 Bohr magnetons per cell. Its polymorph energy (0 for the lowest one) is 0.011 eV/atom.

=====

[2]
# Sr2Al

Crystalline Sr2Al at its relaxed geometry (PBE-GGA, Alexandria via LeMat-Bulk).

a b c (Å): 5.6674 5.6674 3.5153
angles (deg): 90.00 90.00 120.00
Closest atoms and distances in Å follow each position.
Element x y z (fractional)
Sr (0.6667, 0.3333, 0.0000)  5 Sr 3.27-3.52
Sr (0.3333, 0.6667, 0.0000)  5 Sr 3.27-3.52
Al (0.0000, 0.0000, 0.5000)  2 Al 3.52, 12 Sr 3.71

Properties
Its crystal system is hexagonal. For the formation energy, the calculation gives 0.14 eV per atom. For the total magnetization, the calculation gives 0.000 Bohr magnetons per cell.

=====

[3]
# Re3IrOs

Crystalline Re3IrOs at its relaxed geometry (PBE-GGA, Alexandria via LeMat-Bulk).

a b c (Å): 4.6330 4.6330 4.6330
angles (deg): 90.00 90.00 90.00
Closest atoms and distances in Å follow each position.
Element x y z (fractional)
Ir (0.5000, 0.5000, 0.5000)  12 Re 3.28
Re (0.0000, 0.0000, 0.5000)  2 Os 2.32
Re (0.5000, 0.0000, 0.0000)  2 Os 2.32
Re (0.0000, 0.5000, 0.0000)  2 Os 2.32
Os (0.0000, 0.0000, 0.0000)  6 Re 2.32

Properties
Its crystal system is cubic. For the formation energy, the calculation gives 2.42 eV per atom. For the total magnetization, the calculation gives 0.000 Bohr magnetons per cell. Its polymorph energy (0 for the lowest one) is 2.142 eV/atom.

=====

[4]
# MnAl2Mo

Crystalline MnAl2Mo at its relaxed geometry (PBE-GGA, Alexandria via LeMat-Bulk).

a b c (Å): 4.2724 4.2725 4.2450
angles (deg): 120.01 120.01 90.18
Closest atoms and distances in Å follow each position.
Element x y z (fractional)
Al (0.9996, 0.0004, 0.0000)  4 Mo 2.61, 4 Al 2.61
Mn (0.5009, 0.4991, 0.0000)  4 Mo 2.60-2.62, 4 Al 2.61
Al (0.2502, 0.7498, 0.5000)  4 Al 2.61, 4 Mn 2.61
Mo (0.7493, 0.2507, 0.5000)  4 Mn 2.60-2.62, 4 Al 2.61

Properties
Its crystal system is monoclinic. For the formation energy, the calculation gives -0.12 eV per atom. For the total magnetization, the calculation gives 0.000 Bohr magnetons per cell.

=====

[5]
# Ba2ReSi

Crystalline Ba2ReSi at its relaxed geometry (PBE-GGA, Alexandria via LeMat-Bulk).

a b c (Å): 11.8142 11.8142 8.6835
angles (deg): 47.14 47.14 90.00
Closest atoms and distances in Å follow each position.
Element x y z (fractional)
Ba (0.3750, 0.1772, 0.7500)  2 Re 3.07
Ba (0.9272, 0.6250, 0.2500)  2 Re 3.07
Si (0.2500, 0.7500, 0.5000)  2 Re 2.37
Re (0.0000, 0.0000, 0.0000)  2 Si 2.37
Ba (0.8750, 0.0728, 0.7500)  2 Re 3.07
Re (0.7500, 0.2500, 0.5000)  2 Si 2.37
Ba (0.8228, 0.1250, 0.2500)  2 Re 3.07
Si (0.5000, 0.5000, 0.0000)  2 Re 2.37

Properties
Its crystal system is tetragonal. The calculation puts the formation energy from raw total energies at 1.741 eV per formula unit. For the total magnetization, the calculation gives 0.000 Bohr magnetons per cell.

=====

[6]
# Cd6SnHg3

Crystalline Cd6SnHg3 at its relaxed geometry (PBE-GGA, Alexandria via LeMat-Bulk).

a b c (Å): 5.2963 10.5606 10.5606
angles (deg): 122.83 90.00 90.00
Closest atoms and distances in Å follow each position.
Element x y z (fractional)
Cd (0.4775, 0.9435, 0.0565)  1 Sn 3.03, 6 Hg 3.11-3.23, 4 Cd 3.38
Hg (0.9894, 0.7500, 0.9198)  6 Cd 2.96-3.23
Cd (0.1487, 0.6990, 0.3010)  1 Hg 2.96, 2 Sn 3.10-3.15, 6 Cd 3.11-3.18
Cd (0.8155, 0.9599, 0.5462)  1 Hg 2.96, 2 Sn 3.07-3.09, 5 Cd 3.09-3.17
Hg (0.4894, 0.9198, 0.7500)  6 Cd 2.96-3.23
Hg (0.5468, 0.5867, 0.4133)  7 Cd 2.96-3.28
Cd (0.9775, 0.0565, 0.9435)  1 Sn 3.03, 6 Hg 3.11-3.23, 4 Cd 3.38
Hg (0.0468, 0.4133, 0.5867)  7 Cd 2.96-3.28
Cd (0.8155, 0.4538, 0.0401)  1 Hg 2.96, 2 Sn 3.07-3.09, 5 Cd 3.09-3.17
Cd (0.5244, 0.6085, 0.7242)  6 Hg 3.04-3.34, 4 Cd 3.10-3.38
Cd (0.5244, 0.2758, 0.3915)  6 Hg 3.04-3.34, 4 Cd 3.10-3.38
Hg (0.4894, 0.2500, 0.0802)  6 Cd 2.96-3.23
Cd (0.0244, 0.7242, 0.6085)  6 Hg 3.04-3.34, 4 Cd 3.10-3.38
Sn (0.1537, 0.2118, 0.7882)  7 Cd 3.03-3.15, 2 Hg 3.39
Hg (0.9894, 0.0802, 0.2500)  6 Cd 2.96-3.23
Cd (0.6487, 0.3010, 0.6990)  1 Hg 2.96, 2 Sn 3.10-3.15, 6 Cd 3.11-3.18
Sn (0.6537, 0.7882, 0.2118)  7 Cd 3.03-3.15, 2 Hg 3.39
Cd (0.3155, 0.0401, 0.4538)  1 Hg 2.96, 2 Sn 3.07-3.09, 5 Cd 3.09-3.17
Cd (0.3155, 0.5462, 0.9599)  1 Hg 2.96, 2 Sn 3.07-3.09, 5 Cd 3.09-3.17
Cd (0.0244, 0.3915, 0.2758)  6 Hg 3.04-3.34, 4 Cd 3.10-3.38

Properties
Its crystal system is orthorhombic. For the formation energy, the calculation gives 0.04 eV per atom. For the total magnetization, the calculation gives 0.000 Bohr magnetons per cell.

=====

[7]
# Tb4HoEr2Tm2

Crystalline Tb4HoEr2Tm2 at its relaxed geometry (PBE-GGA, Alexandria via LeMat-Bulk).

a b c (Å): 3.5555 9.4036 9.4328
angles (deg): 115.28 90.00 100.90
Closest atoms and distances in Å follow each position.
Element x y z (fractional)
Tb (0.8147, 0.6294, 0.6673)  1 Ho 3.50, 2 Tm 3.50, 6 Tb 3.50-3.56, 3 Er 3.51-3.55
Tm (0.3328, 0.6657, 0.0006)  3 Er 3.48, 3 Tb 3.50, 4 Tm 3.53-3.56, 2 Ho 3.56
Er (0.1484, 0.2969, 0.6682)  3 Tm 3.48, 7 Tb 3.50-3.55, 2 Er 3.56
Tb (0.4816, 0.9632, 0.6660)  5 Tb 3.48-3.56, 1 Tm 3.50, 2 Ho 3.50, 4 Er 3.50-3.55
Tb (0.1853, 0.3706, 0.3327)  1 Ho 3.50, 2 Tm 3.50, 6 Tb 3.50-3.56, 3 Er 3.51-3.55
Ho (0.0000, 0.0000, 0.0000)  6 Tb 3.50, 2 Ho 3.56, 4 Tm 3.56
Tb (0.5184, 0.0368, 0.3340)  5 Tb 3.48-3.56, 1 Tm 3.50, 2 Ho 3.50, 4 Er 3.50-3.55
Tm (0.6672, 0.3343, 0.9994)  3 Er 3.48, 3 Tb 3.50, 4 Tm 3.53-3.56, 2 Ho 3.56
Er (0.8516, 0.7031, 0.3318)  3 Tm 3.48, 7 Tb 3.50-3.55, 2 Er 3.56

Properties
Its crystal system is monoclinic. For the formation energy, the calculation gives 0.01 eV per atom. For the total magnetization, the calculation gives 0.000 Bohr magnetons per cell.

=====

[8]
# Pr2AlSnGe

Crystalline Pr2AlSnGe at its relaxed geometry (PBE-GGA, Alexandria via LeMat-Bulk).

a b c (Å): 4.3934 7.2747 9.1169
angles (deg): 104.45 90.00 90.00
Closest atoms and distances in Å follow each position.
Element x y z (fractional)
Ge (0.7500, 0.1360, 0.1766)  1 Al 2.39
Al (0.2500, 0.5254, 0.7333)  1 Ge 2.39
Pr (0.2500, 0.2009, 0.4128)  2 Ge 3.03, 1 Al 3.27, 2 Sn 3.37
Pr (0.2500, 0.2573, 0.9841)  3 Ge 2.87-3.08
Pr (0.7500, 0.7991, 0.5871)  2 Ge 3.03, 1 Al 3.27, 2 Sn 3.37
Pr (0.7500, 0.7427, 0.0159)  3 Ge 2.87-3.08
Ge (0.2500, 0.8640, 0.8234)  1 Al 2.39
Al (0.7500, 0.4746, 0.2667)  1 Ge 2.39
Sn (0.7500, 0.2956, 0.7021)  2 Al 2.73
Sn (0.2500, 0.7044, 0.2979)  2 Al 2.73

Properties
Its crystal system is monoclinic. For the formation energy, the calculation gives -0.60 eV per atom. For the total magnetization, the calculation gives 0.000 Bohr magnetons per cell.

=====

Number 1: E -4.9821 eV/atom. Number 2: E -2.2331 eV/atom. Number 3: E -9.0709 eV/atom. Number 4: E -6.9941 eV/atom. Number 5: E -4.9940 eV/atom. Number 6: E -1.0032 eV/atom. Number 7: E -4.5691 eV/atom. Number 8: E -4.9801 eV/atom.